Computed, not measured: crystalline LiMnSb2 at its relaxed geometry at the PBE level of DFT.

The structure in POSCAR format:
```
LiMnSb2
1.0
6.5450 0.0000 0.0000
0.0000 6.5450 0.0000
0.0000 0.0000 6.5450
Li Mn Sb
4 4 8
Direct
0.0000 0.0000 0.0000 Li
0.0000 0.5000 0.5000 Li
0.5000 0.0000 0.5000 Li
0.5000 0.5000 0.0000 Li
0.0000 0.0000 0.5000 Mn
0.0000 0.5000 0.0000 Mn
0.5000 0.0000 0.0000 Mn
0.5000 0.5000 0.5000 Mn
0.2500 0.2500 0.2500 Sb
0.2500 0.2500 0.7500 Sb
0.2500 0.7500 0.2500 Sb
0.2500 0.7500 0.7500 Sb
0.7500 0.2500 0.2500 Sb
0.7500 0.2500 0.7500 Sb
0.7500 0.7500 0.2500 Sb
0.7500 0.7500 0.7500 Sb
```

* offset from the most stable computed form: 0.266 eV per atom
* total magnetic moment: 0.00 μB per atom
* formation energy without anion corrections: 0.120 eV per atom

***

Computed, not measured: crystalline LiMn2Sb at its relaxed geometry at the PBE level of DFT.

The structure in POSCAR format:
```
LiMn2Sb
1.0
3.3857 0.0000 0.0000
0.0000 3.4200 0.0000
0.0000 0.0000 5.6896
Li Mn Sb
1 2 1
Direct
0.0000 0.0000 0.0000 Li
0.0000 0.0000 0.4887 Mn
0.5000 0.5000 0.2492 Mn
0.5000 0.5000 0.7261 Sb
```

* total magnetic moment: 1.62 μB per atom
* formation energy without anion corrections: 0.147 eV per atom

***

Computed, not measured: crystalline LiMnSb2 at its relaxed geometry at the PBE level of DFT.

The structure in POSCAR format:
```
LiMnSb2
1.0
7.7540 0.0000 0.0000
0.0000 3.5714 0.0000
-1.6486 0.0000 6.3488
Li Mn Sb
2 2 4
Direct
0.0000 0.0000 0.0000 Li
0.5000 0.5000 0.0000 Li
0.0000 0.5000 0.5000 Mn
0.5000 0.0000 0.5000 Mn
0.2365 0.0000 0.7160 Sb
0.2635 0.5000 0.2840 Sb
0.7365 0.5000 0.7160 Sb
0.7635 0.0000 0.2840 Sb
```

* offset from the most stable computed form: 0.037 eV per atom
* total magnetic moment: 0.73 μB per atom
* formation energy without anion corrections: -0.109 eV per atom

***

Computed, not measured: crystalline LiMnSb2 at its relaxed geometry at the PBE level of DFT.

The structure in POSCAR format:
```
LiMnSb2
1.0
7.6581 0.0000 0.0000
0.0000 7.6581 0.0000
0.0000 0.0000 6.2816
Li Mn Sb
4 4 8
Direct
0.0000 0.0000 0.0000 Li
0.0000 0.5000 0.2500 Li
0.5000 0.0000 0.7500 Li
0.5000 0.5000 0.5000 Li
0.0000 0.0000 0.5000 Mn
0.0000 0.5000 0.7500 Mn
0.5000 0.0000 0.2500 Mn
0.5000 0.5000 0.0000 Mn
0.2286 0.2500 0.6250 Sb
0.2500 0.7286 0.8750 Sb
0.2500 0.7714 0.3750 Sb
0.2714 0.2500 0.1250 Sb
0.7286 0.7500 0.1250 Sb
0.7500 0.2286 0.3750 Sb
0.7500 0.2714 0.8750 Sb
0.7714 0.7500 0.6250 Sb
```

* offset from the most stable computed form: 0.186 eV per atom
* total magnetic moment: 0.93 μB per atom
* formation energy without anion corrections: 0.040 eV per atom

***

Q: Which V values were calculated for the entries above? A: 280; 66; 176; 368, in Å³ per cell.